No. 1
DFT (PBE) results for a relaxed Pm4Hg3Ir crystal.

Calculated values
- density of states at the Fermi level (states/eV/f.u.) = 7.02
- M_tot (Bohr magnetons per cell) = 0.38
- energy relative to the elements (meV/atom) = -522

a b c (Å): 3.683 3.683 15.447
angles (deg): 90.00 90.00 90.00
Space group P4/mmm (No. 123)
Symmetry-distinct sites (fractional):
Pm (0.000, 0.000, 0.106) x2
Pm (0.000, 0.000, 0.371) x2
Hg (0.500, 0.500, 0.245) x2
Hg (0.500, 0.500, 0.500) x1
Ir (0.500, 0.500, 0.000) x1

***

No. 2
DFT (PBE) results for a relaxed NiMo4Ir crystal.

Calculated values
- density of states at the Fermi level (states/eV/f.u.) = 5.95
- M_tot (Bohr magnetons per cell) = 0.00
- energy relative to the elements (meV/atom) = 373

a b c (Å): 7.235 7.235 7.235
angles (deg): 90.00 90.00 90.00
Space group F-43m (No. 216)
Symmetry-distinct sites (fractional):
Ni (0.000, 0.000, 0.000) x4
Mo (0.126, 0.126, 0.374) x16
Ir (0.250, 0.250, 0.750) x4

***

No. 3
DFT (PBE) results for a relaxed KDyHo4Se8 crystal.

Calculated values
- density of states at the Fermi level (states/eV/f.u.) = 0.00
- M_tot (Bohr magnetons per cell) = 0.00
- ΔE_f (raw) (eV per atom) = -1.7431

a b c (Å): 8.5461 8.5461 20.9982
angles (deg): 90.00 90.00 120.00
Space group R3m (No. 160, hexagonal axes)
Symmetry-distinct sites (fractional):
K (0.0000, 0.0000, 0.0000) x3
Dy (0.0000, 0.0000, 0.3693) x3
Ho (0.0000, 0.0000, 0.7492) x3
Ho (0.0129, 0.5064, 0.8759) x9
Se (0.0000, 0.0000, 0.1400) x3
Se (0.0000, 0.0000, 0.6168) x3
Se (0.0196, 0.5098, 0.1270) x9
Se (0.1869, 0.3738, 0.9521) x9

***

No. 4
DFT (PBE) results for a relaxed TaZn2Au2 crystal.

Calculated values
- density of states at the Fermi level (states/eV/f.u.) = 2.07
- M_tot (Bohr magnetons per cell) = 0.00
- polymorph energy (0 for the lowest one) (meV per atom) = 28
- energy relative to the elements (meV/atom) = 75

a b c (Å): 7.679 7.679 2.849
angles (deg): 90.00 90.00 90.00
Space group P4/mbm (No. 127)
Symmetry-distinct sites (fractional):
Ta (0.000, 0.000, 0.000) x2
Zn (0.165, 0.335, 0.500) x4
Au (0.135, 0.635, 0.000) x4

***

No. 5
DFT (PBE) results for a relaxed TlPb2Au2 crystal.

Calculated values
- density of states at the Fermi level (states/eV/f.u.) = 2.09
- M_tot (Bohr magnetons per cell) = 0.00
- polymorph energy (0 for the lowest one) (meV per atom) = 59
- energy relative to the elements (meV/atom) = 6

a b c (Å): 5.120 5.120 11.075
angles (deg): 90.00 90.00 90.00
Space group I4/mmm (No. 139)
Symmetry-distinct sites (fractional):
Tl (0.000, 0.000, 0.000) x2
Pb (0.000, 0.500, 0.250) x4
Au (0.000, 0.000, 0.377) x4

***

No. 6
DFT (PBE) results for a relaxed TbPm2SmSc crystal.

Calculated values
- density of states at the Fermi level (states/eV/f.u.) = 7.78
- M_tot (Bohr magnetons per cell) = 0.00
- energy relative to the elements (meV/atom) = 362

a b c (Å): 6.462 15.909 6.467
angles (deg): 90.00 90.00 90.00
Space group Cmcm (No. 63)
Symmetry-distinct sites (fractional):
Tb (0.000, 0.249, 0.250) x4
Pm (0.249, 0.000, 0.000) x8
Sm (0.000, 0.338, 0.750) x4
Sc (0.000, 0.154, 0.750) x4

***

No. 7
DFT (PBE) results for a relaxed Fe3CuCl9 crystal.

Calculated values
- density of states at the Fermi level (states/eV/f.u.) = 6.20
- M_tot (Bohr magnetons per cell) = 56.00
- ΔE_f (raw) (eV per atom) = -0.7120

a b c (Å): 14.906 10.667 12.546
angles (deg): 90.00 123.77 90.00
Space group Cc (No. 9)
Symmetry-distinct sites (fractional):
Fe (0.000, 0.046, 0.000) x4
Fe (0.274, 0.357, 0.712) x4
Fe (0.384, 0.151, 0.542) x4
Cu (0.171, 0.117, 0.851) x4
Cl (0.029, 0.005, 0.688) x4
Cl (0.047, 0.350, 0.206) x4
Cl (0.141, 0.134, 0.012) x4
Cl (0.167, 0.317, 0.780) x4
Cl (0.232, 0.483, 0.089) x4
Cl (0.264, 0.177, 0.601) x4
Cl (0.335, 0.024, 0.925) x4
Cl (0.357, 0.316, 0.404) x4
Cl (0.453, 0.359, 0.887) x4

***

No. 8
DFT (PBE) results for a relaxed Pm2YHoBi5 crystal.

Calculated values
- density of states at the Fermi level (states/eV/f.u.) = 6.19
- M_tot (Bohr magnetons per cell) = 0.00
- energy relative to the elements (meV/atom) = -110

a b c (Å): 5.416 5.416 11.901
angles (deg): 90.00 90.00 90.00
Space group P4/mmm (No. 123)
Symmetry-distinct sites (fractional):
Pm (0.000, 0.000, 0.227) x2
Y (0.500, 0.500, 0.500) x1
Ho (0.500, 0.500, 0.000) x1
Bi (0.000, 0.000, 0.500) x1
Bi (0.000, 0.500, 0.000) x2
Bi (0.500, 0.500, 0.254) x2

***

No. 9
DFT (PBE) results for a relaxed Tb6Dy2HoTm crystal.

Calculated values
- density of states at the Fermi level (states/eV/f.u.) = 13.27
- M_tot (Bohr magnetons per cell) = 0.00
- energy relative to the elements (meV/atom) = 118

a b c (Å): 9.006 14.978 9.526
angles (deg): 90.00 97.84 90.00
Space group C2/c (No. 15)
Symmetry-distinct sites (fractional):
Tb (0.062, 0.186, 0.444) x8
Tb (0.103, 0.393, 0.620) x8
Tb (0.207, 0.224, 0.814) x8
Dy (0.250, 0.052, 0.044) x8
Ho (0.000, 0.023, 0.750) x4
Tm (0.000, 0.409, 0.250) x4

***

No. 10
DFT (PBE) results for a relaxed NdCu4Si2 crystal.

Calculated values
- density of states at the Fermi level (states/eV/f.u.) = 1.88
- M_tot (Bohr magnetons per cell) = 0.00
- polymorph energy (0 for the lowest one) (meV per atom) = 0
- ΔE_f (raw) (eV per atom) = -0.3890

a b c (Å): 4.105 12.709 4.123
angles (deg): 90.00 90.00 90.00
Space group Cmmm (No. 65)
Symmetry-distinct sites (fractional):
Nd (0.000, 0.000, 0.000) x2
Cu (0.000, 0.190, 0.500) x4
Cu (0.000, 0.311, 0.000) x4
Si (0.000, 0.403, 0.500) x4

***

No. 11
DFT (PBE) results for a relaxed Sm2DyHoP4 crystal.

Calculated values
- density of states at the Fermi level (states/eV/f.u.) = 0.78
- M_tot (Bohr magnetons per cell) = 0.00
- energy relative to the elements (meV/atom) = -1590

a b c (Å): 7.016 4.055 7.019
angles (deg): 90.00 109.47 90.00
Space group P2/m (No. 10)
Symmetry-distinct sites (fractional):
Sm (0.000, 0.000, 0.000) x1
Sm (0.000, 0.500, 0.500) x1
Dy (0.500, 0.000, 0.500) x1
Ho (0.500, 0.500, 0.000) x1
P (0.257, 0.000, 0.753) x2
P (0.257, 0.500, 0.252) x2

***

No. 12
DFT (PBE) results for a relaxed Sr3La crystal.

Calculated values
- density of states at the Fermi level (states/eV/f.u.) = 6.05
- M_tot (Bohr magnetons per cell) = 0.00
- polymorph energy (0 for the lowest one) (meV per atom) = 130
- energy relative to the elements (meV/atom) = 224

a b c (Å): 3.803 3.952 13.106
angles (deg): 90.00 90.00 90.00
Space group Pmm2 (No. 25)
Symmetry-distinct sites (fractional):
Sr (0.000, 0.000, 0.000) x1
Sr (0.000, 0.500, 0.274) x1
Sr (0.500, 0.500, 0.751) x1
La (0.500, 0.000, 0.498) x1

***

No. 13
DFT (PBE) results for a relaxed IrS2ClO8 crystal.

Calculated values
- density of states at the Fermi level (states/eV/f.u.) = 6.41
- M_tot (Bohr magnetons per cell) = 1.94
- ΔE_f (raw) (eV per atom) = -0.7796

a b c (Å): 8.161 5.210 9.349
angles (deg): 90.00 109.52 90.00
Space group C2/m (No. 12)
Symmetry-distinct sites (fractional):
Ir (0.000, 0.000, 0.000) x2
S (0.079, 0.500, 0.825) x4
Cl (0.000, 0.000, 0.500) x2
O (0.031, 0.269, 0.160) x8
O (0.103, 0.500, 0.681) x4
O (0.240, 0.500, 0.965) x4

***

No. 14
DFT (PBE) results for a relaxed CeNpGe2 crystal.

Calculated values
- density of states at the Fermi level (states/eV/f.u.) = 12.05
- M_tot (Bohr magnetons per cell) = 4.72
- energy relative to the elements (meV/atom) = -329

a b c (Å): 4.672 4.672 4.081
angles (deg): 90.00 90.00 90.00
Space group P4/mmm (No. 123)
Symmetry-distinct sites (fractional):
Ce (0.000, 0.000, 0.000) x1
Np (0.500, 0.500, 0.000) x1
Ge (0.000, 0.500, 0.500) x2

***

No. 15
DFT (PBE) results for a relaxed PuHg2Pd crystal.

Calculated values
- density of states at the Fermi level (states/eV/f.u.) = 8.18
- M_tot (Bohr magnetons per cell) = 17.94
- energy relative to the elements (meV/atom) = -50

a b c (Å): 3.2586 3.2586 28.9998
angles (deg): 90.00 90.00 120.00
Space group R3m (No. 160, hexagonal axes)
Symmetry-distinct sites (fractional):
Pu (0.0000, 0.0000, 0.0000) x3
Hg (0.0000, 0.0000, 0.2402) x3
Hg (0.0000, 0.0000, 0.4260) x3
Pd (0.0000, 0.0000, 0.8330) x3

***

No. 16
DFT (PBE) results for a relaxed PuThSe2 crystal.

Calculated values
- density of states at the Fermi level (states/eV/f.u.) = 7.29
- M_tot (Bohr magnetons per cell) = 6.43
- polymorph energy (0 for the lowest one) (meV per atom) = 201
- ΔE_f (raw) (eV per atom) = -1.3506

a b c (Å): 3.618 3.618 7.291
angles (deg): 90.00 90.00 90.00
Space group P4/mmm (No. 123)
Symmetry-distinct sites (fractional):
Pu (0.000, 0.000, 0.000) x1
Th (0.000, 0.000, 0.500) x1
Se (0.500, 0.500, 0.253) x2

***

No. 17
DFT (PBE) results for a relaxed Ti8Nb crystal.

Calculated values
- density of states at the Fermi level (states/eV/f.u.) = 14.53
- M_tot (Bohr magnetons per cell) = 0.00
- energy relative to the elements (meV/atom) = 68

a b c (Å): 8.782 8.782 4.062
angles (deg): 90.00 90.00 90.00
Space group I4/mmm (No. 139)
Symmetry-distinct sites (fractional):
Ti (0.000, 0.336, 0.000) x8
Ti (0.169, 0.169, 0.500) x8
Nb (0.000, 0.000, 0.000) x2

***

No. 18
DFT (PBE) results for a relaxed SrNd2Ni crystal.

Calculated values
- density of states at the Fermi level (states/eV/f.u.) = 5.08
- M_tot (Bohr magnetons per cell) = 0.00
- polymorph energy (0 for the lowest one) (meV per atom) = 37
- energy relative to the elements (meV/atom) = -27

a b c (Å): 3.605 3.605 9.908
angles (deg): 90.00 90.00 90.00
Space group P4/mmm (No. 123)
Symmetry-distinct sites (fractional):
Sr (0.000, 0.000, 0.000) x1
Nd (0.500, 0.500, 0.338) x2
Ni (0.000, 0.000, 0.500) x1

***

No. 19
DFT (PBE) results for a relaxed CaPu3Se4 crystal.

Calculated values
- density of states at the Fermi level (states/eV/f.u.) = 28.91
- M_tot (Bohr magnetons per cell) = 17.53
- polymorph energy (0 for the lowest one) (meV per atom) = 4
- ΔE_f (raw) (eV per atom) = -1.6202

a b c (Å): 4.170 5.905 8.354
angles (deg): 90.00 90.00 90.00
Space group Pmmm (No. 47)
Symmetry-distinct sites (fractional):
Ca (0.000, 0.000, 0.000) x1
Pu (0.000, 0.000, 0.500) x1
Pu (0.500, 0.500, 0.250) x2
Se (0.000, 0.500, 0.000) x1
Se (0.000, 0.500, 0.500) x1
Se (0.500, 0.000, 0.251) x2

***

No. 20
DFT (PBE) results for a relaxed ZnMoW2 crystal.

Calculated values
- density of states at the Fermi level (states/eV/f.u.) = 1.51
- M_tot (Bohr magnetons per cell) = 0.00
- energy relative to the elements (meV/atom) = 111

a b c (Å): 3.227 4.397 8.869
angles (deg): 90.00 90.00 90.00
Space group Cmm2 (No. 35)
Symmetry-distinct sites (fractional):
Zn (0.000, 0.000, 0.000) x2
Mo (0.000, 0.500, 0.248) x2
W (0.000, 0.000, 0.499) x2
W (0.000, 0.500, 0.750) x2

***

No. 21
DFT (PBE) results for a relaxed YMoPd3 crystal.

Calculated values
- density of states at the Fermi level (states/eV/f.u.) = 4.18
- M_tot (Bohr magnetons per cell) = 0.00
- polymorph energy (0 for the lowest one) (meV per atom) = 0
- energy relative to the elements (meV/atom) = 378

a b c (Å): 4.823 4.823 4.823
angles (deg): 90.00 90.00 90.00
Space group Pm-3m (No. 221)
Symmetry-distinct sites (fractional):
Y (0.000, 0.000, 0.000) x1
Mo (0.500, 0.500, 0.500) x1
Pd (0.000, 0.500, 0.500) x3

***

No. 22
DFT (PBE) results for a relaxed NaInSiTe2 crystal.

Calculated values
- density of states at the Fermi level (states/eV/f.u.) = 3.59
- M_tot (Bohr magnetons per cell) = 0.72
- ΔE_f (raw) (eV per atom) = 0.6887

a b c (Å): 5.749 5.749 5.424
angles (deg): 90.00 90.00 90.00
Space group P4/mmm (No. 123)
Symmetry-distinct sites (fractional):
Na (0.000, 0.000, 0.000) x1
In (0.000, 0.000, 0.500) x1
Si (0.500, 0.500, 0.000) x1
Te (0.000, 0.500, 0.500) x2

***

No. 23
DFT (PBE) results for a relaxed SrLi4Al12 crystal.

Calculated values
- density of states at the Fermi level (states/eV/f.u.) = 9.60
- M_tot (Bohr magnetons per cell) = 0.00
- energy relative to the elements (meV/atom) = 352

a b c (Å): 8.899 8.899 8.899
angles (deg): 90.00 90.00 90.00
Space group Im-3 (No. 204)
Symmetry-distinct sites (fractional):
Sr (0.000, 0.000, 0.000) x2
Li (0.250, 0.250, 0.250) x8
Al (0.000, 0.353, 0.156) x24

***

No. 24
DFT (PBE) results for a relaxed SrSb2 crystal.

Calculated values
- density of states at the Fermi level (states/eV/f.u.) = 2.19
- M_tot (Bohr magnetons per cell) = 0.00
- ΔE_f (raw) (eV per atom) = -0.4307

a b c (Å): 9.181 9.181 9.181
angles (deg): 90.00 90.00 90.00
Space group Fd-3m (No. 227, origin choice 2)
Symmetry-distinct sites (fractional):
Sr (0.125, 0.125, 0.125) x8
Sb (0.000, 0.000, 0.500) x16